[1]
ZrVBr3: relaxed, PBE-GGA.

Geometry as POSCAR:
```
ZrVBr3
1.0
-4.1811 2.3626 2.3343
-2.8120 -4.5153 -0.4667
1.7674 -1.5948 4.7798
Zr Br V
1 3 1
direct
0.0000 0.0000 0.0000
0.0000 0.5000 0.0000
0.0000 0.0000 0.5000
0.5000 0.0000 0.0000
0.5000 0.5000 0.5000
```

Properties
For the energy above the lowest structure with this stoichiometry, the calculation gives 0 meV/atom.



[2]
Zr2V2Br: relaxed, PBE-GGA.

Geometry as POSCAR:
```
Zr2V2Br
1.0
4.4083 0.0000 0.0000
0.0000 4.4083 0.0000
2.2042 2.2042 5.5198
Zr Br V
2 1 2
direct
0.7500 0.2500 0.5000
0.2500 0.7500 0.5000
0.0000 0.0000 0.0000
0.4134 0.4134 0.1732
0.5866 0.5866 0.8268
```

Properties
For the energy above the lowest structure with this stoichiometry, the calculation gives 663 meV/atom.



[3]
ZrV3Br: relaxed, PBE-GGA.

Geometry as POSCAR:
```
ZrV3Br
1.0
4.9520 0.0000 0.0000
0.0000 4.9520 0.0000
0.0000 0.0000 4.9520
Zr Br V
1 1 3
direct
0.0000 0.0000 0.0000
0.5000 0.5000 0.5000
0.0000 0.5000 0.0000
0.0000 0.0000 0.5000
0.5000 0.0000 0.0000
```

Properties
For the energy above the lowest structure with this stoichiometry, the calculation gives 981 meV/atom.



[4]
W2Br: relaxed, PBE-GGA.

Geometry as POSCAR:
```
W2Br
1.0
2.9618 0.0000 0.0000
-1.4809 2.5650 0.0000
0.0000 0.0000 6.7414
Br W
1 2
direct
0.0000 0.0000 0.0000
0.6667 0.3333 0.6655
0.3333 0.6667 0.3345
```

Properties
For the energy above the lowest structure with this stoichiometry, the calculation gives 488 meV/atom.



[5]
W2Br: relaxed, PBE-GGA.

Geometry as POSCAR:
```
W2Br
1.0
-3.0632 3.0632 2.7631
3.0632 -3.0632 2.7631
3.0632 3.0632 -2.7631
W Br
4 2
direct
0.8567 0.3567 0.2134
0.1433 0.6433 0.7866
0.3567 0.1433 0.5000
0.6433 0.8567 0.5000
0.2500 0.2500 0.0000
0.7500 0.7500 0.0000
```

Properties
For the energy above the lowest structure with this stoichiometry, the calculation gives 1286 meV/atom.



[6]
W2Br: relaxed, PBE-GGA.

Geometry as POSCAR:
```
W2Br
1.0
-4.4382 -1.5212 3.9277
-4.0915 -4.5046 0.6372
5.7321 1.8511 -1.0745
Br W
1 2
direct
0.0000 0.0000 0.0000
0.6891 0.6891 0.0000
0.3109 0.3109 0.0000
```

Properties
For the energy above the lowest structure with this stoichiometry, the calculation gives 533 meV/atom.



| no. | ΔE_f (raw) (eV/f.u.) | total moment (μB per cell) |
| --- | --- | --- |
| 1 | 0.03 | 4.521 |
| 2 | 4.85 | 0.000 |
| 3 | 8.80 | 6.688 |
| 4 | 2.62 | 0.000 |
| 5 | 5.01 | 0.000 |
| 6 | 2.76 | 0.000 |